{"formula": "Ce4Bi12Pb", "functional": "GGA-PBE", "state": "optimized geometry", "lattice": [[8.4392, 0.0000, -2.9837], [-4.2196, 7.3086, -2.9837], [0.0000, 0.0000, 8.9511]], "species": ["Ce", "Ce", "Ce", "Ce", "Bi", "Bi", "Bi", "Bi", "Bi", "Bi", "Bi", "Bi", "Bi", "Bi", "Bi", "Bi", "Pb"], "fractional_positions": [[0.0000, 0.0000, 0.5000], [0.5000, 0.0000, 0.0000], [0.5000, 0.5000, 0.5000], [0.0000, 0.5000, 0.0000], [0.0000, 0.2931, 0.2931], [0.0000, 0.7069, 0.7069], [0.7069, 0.7069, 0.0000], [0.2931, 0.2931, 0.0000], [0.2931, 0.0000, 0.2931], [0.7069, 0.0000, 0.7069], [0.5000, 0.2500, 0.7500], [0.5000, 0.7500, 0.2500], [0.7500, 0.2500, 0.5000], [0.2500, 0.7500, 0.5000], [0.7500, 0.5000, 0.2500], [0.2500, 0.5000, 0.7500], [0.0000, 0.0000, 0.0000]], "e_form_ev_per_atom": -0.23}

{"formula": "AcTcCl", "functional": "GGA-PBE", "state": "optimized geometry", "lattice": [[-1.4900, -1.2182, -3.7837], [-4.0004, -1.3729, -0.3640], [-5.4442, 10.2372, -3.5332]], "species": ["Ac", "Ac", "Tc", "Tc", "Cl", "Cl"], "fractional_positions": [[0.4342, 0.4342, 0.6976], [0.5658, 0.5658, 0.3024], [0.1611, 0.1611, 0.5168], [0.8389, 0.8389, 0.4832], [0.7160, 0.7160, 0.8521], [0.2840, 0.2840, 0.1479]], "relative_energy_ev_per_fu": 0.00, "e_form_raw_ev_per_atom": -1.060}

{"formula": "AgAsSBr2", "functional": "GGA-PBE", "state": "optimized geometry", "lattice": [[-2.2758, -1.2713, -4.6706], [3.7683, -3.7046, -0.8278], [-2.7637, -3.3138, 2.2487]], "species": ["S", "As", "Br", "Br", "Ag"], "fractional_positions": [[0.0000, 0.0000, 0.0000], [0.0000, 0.0000, 0.5000], [0.0000, 0.5000, 0.0000], [0.5000, 0.0000, 0.0000], [0.5000, 0.5000, 0.5000]], "relative_energy_ev_per_fu": 0.00, "e_form_raw_ev_per_atom": 0.589}

{"formula": "Tm6GaIr", "functional": "GGA-PBE", "state": "optimized geometry", "lattice": [[6.6199, 0.5496, 0.0000], [2.1538, 6.3272, 0.0000], [1.0769, 3.1636, 5.6347]], "species": ["Tm", "Tm", "Tm", "Tm", "Tm", "Tm", "Ga", "Ir"], "fractional_positions": [[0.7451, 0.4486, 0.6247], [0.7451, 0.0733, 0.3753], [0.2549, 0.9267, 0.6247], [0.2549, 0.5514, 0.3753], [0.7388, 0.7398, 0.0000], [0.2612, 0.2602, 0.0000], [0.0000, 0.0000, 0.0000], [0.5000, 0.5000, 0.0000]], "e_form_ev_per_atom": -0.24}

| no. | total magnetic moment (Bohr magnetons per cell) |
| --- | --- |
| 1 | 3.81 |
| 2 | 0.00 |
| 3 | 1.43 |
| 4 | 0.00 |